Density functional theory data (PBE) for TaSi2 after structural relaxation.

Uncorrected formation energy: 83 meV/atom
Magnetization: 0.0 μB per cell

a = 9.1712 Å, b = 9.1712 Å, c = 9.1712 Å
α = 163.30°, β = 153.77°, γ = 31.25°
Last column: nearest neighbours and their distance in Å.
Sites, in units of the cell vectors:
Ta 0.3553 0.6053 0.7500  2 Ta 2.66, 10 Si 2.74-2.86
Ta 0.6447 0.3947 0.2500  2 Ta 2.66, 10 Si 2.74-2.86
Si 0.7878 0.0378 0.7500  5 Si 2.47-2.66, 4 Ta 2.74
Si 0.2122 0.9622 0.2500  5 Si 2.47-2.66, 4 Ta 2.74
Si 0.9360 0.1860 0.7500  5 Si 2.62-2.66, 4 Ta 2.85
Si 0.0640 0.8140 0.2500  5 Si 2.62-2.66, 4 Ta 2.85

---

Density functional theory data (PBE) for PrNd2SmDy2 after structural relaxation.

Energy relative to the elements: 256 meV per atom
Magnetization: 0.0 μB per cell

a = 3.4322 Å, b = 6.6403 Å, c = 18.2899 Å
α = 90.00°, β = 90.00°, γ = 90.00°
Last column: nearest neighbours and their distance in Å.
Sites, in units of the cell vectors:
Pr 0.0000 0.0000 0.0000  2 Dy 3.28, 2 Pr 3.43
Pr 0.5000 0.5000 0.5000  2 Dy 3.28, 2 Pr 3.43
Nd 0.5000 0.2797 0.3123  4 Dy 3.38-3.47, 2 Nd 3.43, 1 Pr 3.73
Nd 0.0000 0.7797 0.1877  4 Dy 3.38-3.47, 2 Nd 3.43, 1 Pr 3.73
Nd 0.5000 0.7203 0.6877  4 Dy 3.38-3.47, 2 Nd 3.43, 1 Pr 3.73
Nd 0.0000 0.2203 0.8123  4 Dy 3.38-3.47, 2 Nd 3.43, 1 Pr 3.73
Sm 0.5000 0.5000 0.0000  2 Sm 3.43, 4 Dy 3.50, 4 Pr 3.74
Sm 0.0000 0.0000 0.5000  2 Sm 3.43, 4 Dy 3.50, 4 Pr 3.74
Dy 0.5000 0.7823 0.3528  1 Pr 3.28, 4 Nd 3.38-3.47, 2 Dy 3.43, 2 Sm 3.50
Dy 0.5000 0.2177 0.6472  1 Pr 3.28, 4 Nd 3.38-3.47, 2 Dy 3.43, 2 Sm 3.50
Dy 0.0000 0.7177 0.8528  1 Pr 3.28, 4 Nd 3.38-3.47, 2 Dy 3.43, 2 Sm 3.50
Dy 0.0000 0.2823 0.1472  1 Pr 3.28, 4 Nd 3.38-3.47, 2 Dy 3.43, 2 Sm 3.50

---

Density functional theory data (PBE) for CuPPb after structural relaxation.

Energy relative to the elements: 563 meV per atom
Excess energy over the best structure of this formula in the dataset: 592 meV/atom
Magnetization: 0.0 μB per cell

a = 4.8520 Å, b = 4.8520 Å, c = 5.8532 Å
α = 90.00°, β = 90.00°, γ = 120.00°
Last column: nearest neighbours and their distance in Å.
Sites, in units of the cell vectors:
Cu 0.6667 0.3333 0.2500  5 Pb 2.80-2.93
Cu 0.3333 0.6667 0.7500  5 Pb 2.80-2.93
P 0.0000 0.0000 0.0000  2 P 2.93, 6 Pb 3.16, 6 Cu 3.16
P 0.0000 0.0000 0.5000  2 P 2.93, 6 Pb 3.16, 6 Cu 3.16
Pb 0.6667 0.3333 0.7500  5 Cu 2.80-2.93
Pb 0.3333 0.6667 0.2500  5 Cu 2.80-2.93

---

Density functional theory data (PBE) for Cd2InSe after structural relaxation.

Uncorrected formation energy: -169 meV/atom
Excess energy over the best structure of this formula in the dataset: 14 meV/atom
Magnetization: 0.0 μB per cell

a = 8.0521 Å, b = 8.0521 Å, c = 8.0521 Å
α = 28.15°, β = 28.15°, γ = 28.15°
Last column: nearest neighbours and their distance in Å.
Sites, in units of the cell vectors:
Cd 0.0095 0.0095 0.0095  3 Se 2.84, 3 In 3.12
Cd 0.4905 0.4905 0.4905  3 Se 2.84, 3 In 3.12
In 0.2500 0.2500 0.2500  6 Cd 3.12
Se 0.7500 0.7500 0.7500  6 Cd 2.84

---

What did the third record say?
Density functional theory data (PBE) for CuPPb after structural relaxation.

Energy relative to the elements: 563 meV per atom
Excess energy over the best structure of this formula in the dataset: 592 meV/atom
Magnetization: 0.0 μB per cell

a = 4.8520 Å, b = 4.8520 Å, c = 5.8532 Å
α = 90.00°, β = 90.00°, γ = 120.00°
Last column: nearest neighbours and their distance in Å.
Sites, in units of the cell vectors:
Cu 0.6667 0.3333 0.2500  5 Pb 2.80-2.93
Cu 0.3333 0.6667 0.7500  5 Pb 2.80-2.93
P 0.0000 0.0000 0.0000  2 P 2.93, 6 Pb 3.16, 6 Cu 3.16
P 0.0000 0.0000 0.5000  2 P 2.93, 6 Pb 3.16, 6 Cu 3.16
Pb 0.6667 0.3333 0.7500  5 Cu 2.80-2.93
Pb 0.3333 0.6667 0.2500  5 Cu 2.80-2.93

---

Which value of magnetization does entry 3 give?
0.0 μB per cell